VASP calculation (GGA-PBE) on FeRe2Os after structural relaxation.

Cell lengths 4.495, 4.495, 2.833 Å; angles 90.00, 90.00, 90.00 degrees
Last column: magnetic moment on the atom in μB.
Fractional positions:
Re: 0.000 0.000 0.000  0.04
Os: 0.000 0.500 0.500  0.06
Re: 0.500 0.500 0.000  0.04
Fe: 0.500 0.000 0.500  2.31

Output
**Crystal system**: tetragonal
**Density of states at the Fermi level**: 4.35 states/eV per cell
**Calculated formation energy**: 0.35 eV/atom
**Polymorph energy (0 for the lowest one)**: 333 meV/atom
**Final energy**: -43.2 eV per cell

***

VASP calculation (GGA-PBE) on FeRe2Os after structural relaxation.

Cell lengths 2.708, 2.708, 7.487 Å; angles 90.00, 90.00, 90.00 degrees
Fractional positions:
Os: 0.500 0.500 0.750
Re: 0.000 0.000 0.485
Re: 0.000 0.000 0.015
Fe: 0.500 0.500 0.250

Output
**Crystal system**: tetragonal
**Density of states at the Fermi level**: 4.05 states/eV per cell
**Calculated formation energy**: 0.07 eV/atom
**Polymorph energy (0 for the lowest one)**: 52 meV/atom
**Final energy**: -44.3 eV per cell

***

VASP calculation (GGA-PBE) on FeReOs2 after structural relaxation.

Cell lengths 5.305, 5.305, 6.753 Å; angles 66.87, 66.87, 90.00 degrees
Fractional positions:
Os: 0.597 0.125 0.250
Re: 0.000 0.000 0.000
Os: 0.875 0.847 0.750
Fe: 0.250 0.750 0.500
Os: 0.153 0.625 0.250
Re: 0.750 0.250 0.500
Os: 0.375 0.403 0.750
Fe: 0.500 0.500 0.000

Output
**Crystal system**: tetragonal
**Density of states at the Fermi level**: 7.95 states/eV per cell
**Calculated formation energy**: 1.31 eV/atom
**Polymorph energy (0 for the lowest one)**: 1215 meV/atom
**Final energy**: -76.3 eV per cell

***

VASP calculation (GGA-PBE) on Fe8Re3Os after structural relaxation.

Cell lengths 4.647, 4.647, 7.621 Å; angles 90.00, 90.00, 120.00 degrees
Last column: magnetic moment on the atom in μB.
Fractional positions:
Re: 0.000 0.000 0.936  -0.19
Fe: 0.994 0.497 0.750  1.44
Fe: 0.673 0.837 0.250  1.36
Fe: 0.503 0.497 0.750  1.44
Fe: 0.503 0.006 0.750  1.44
Fe: 0.333 0.667 0.500  0.99
Fe: 0.163 0.327 0.250  1.36
Re: 0.667 0.333 0.064  -0.13
Os: 0.000 0.000 0.563  -0.01
Fe: 0.333 0.667 0.001  0.82
Fe: 0.163 0.837 0.250  1.36
Re: 0.667 0.333 0.436  -0.25

Output
**Crystal system**: trigonal
**Density of states at the Fermi level**: 12.04 states/eV per cell
**Calculated formation energy**: 0.02 eV/atom
**Final energy**: -116.0 eV per cell

***

VASP calculation (GGA-PBE) on FeRe2Os after structural relaxation.

Cell lengths 5.159, 5.159, 5.159 Å; angles 147.24, 129.78, 61.27 degrees
Last column: magnetic moment on the atom in μB.
Fractional positions:
Fe: 0.501 0.501 0.000  2.40
Re: 0.000 0.000 0.000  0.11
Os: 0.270 0.770 0.500  0.14
Re: 0.729 0.229 0.500  0.08

Output
**Crystal system**: orthorhombic
**Density of states at the Fermi level**: 3.61 states/eV per cell
**Calculated formation energy**: 0.25 eV/atom
**Polymorph energy (0 for the lowest one)**: 228 meV/atom
**Final energy**: -43.6 eV per cell

***

VASP calculation (GGA-PBE) on FeRe2Os after structural relaxation.

Cell lengths 3.773, 2.708, 6.046 Å; angles 63.43, 90.00, 90.00 degrees
Fractional positions:
Re: 0.000 0.514 0.485
Os: 0.500 0.750 0.750
Re: 0.000 0.986 0.015
Fe: 0.500 0.250 0.250

Output
**Crystal system**: orthorhombic
**Density of states at the Fermi level**: 3.05 states/eV per cell
**Calculated formation energy**: 0.06 eV/atom
**Polymorph energy (0 for the lowest one)**: 45 meV/atom
**Final energy**: -44.3 eV per cell

***

VASP calculation (GGA-PBE) on FeRe2Os after structural relaxation.

Cell lengths 2.725, 5.147, 9.344 Å; angles 118.18, 90.05, 105.34 degrees
Last column: magnetic moment on the atom in μB.
Fractional positions:
Re: 0.471 0.399 0.786  -0.03
Fe: 0.730 0.918 0.594  0.39
Os: 0.729 0.917 0.092  0.00
Fe: 0.980 0.420 0.548  0.39
Os: 0.981 0.421 0.050  0.00
Re: 0.239 0.938 0.356  -0.03
Re: 0.228 0.914 0.831  -0.04
Re: 0.482 0.423 0.311  -0.04

Output
**Crystal system**: monoclinic
**Density of states at the Fermi level**: 7.15 states/eV per cell
**Calculated formation energy**: 0.02 eV/atom
**Polymorph energy (0 for the lowest one)**: 0 meV/atom
**Final energy**: -89.0 eV per cell

***

VASP calculation (GGA-PBE) on FeRe2Os after structural relaxation.

Cell lengths 8.891, 8.891, 8.891 Å; angles 17.62, 17.62, 17.62 degrees
Last column: magnetic moment on the atom in μB.
Fractional positions:
Fe: 0.500 0.500 0.500  1.65
Re: 0.247 0.247 0.247  -0.12
Re: 0.000 0.000 0.000  -0.05
Os: 0.753 0.753 0.753  -0.07

Output
**Crystal system**: trigonal
**Density of states at the Fermi level**: 2.87 states/eV per cell
**Calculated formation energy**: 0.12 eV/atom
**Polymorph energy (0 for the lowest one)**: 102 meV/atom
**Final energy**: -44.1 eV per cell

***

VASP calculation (GGA-PBE) on FeReOs2 after structural relaxation.

Cell lengths 4.657, 4.657, 2.717 Å; angles 90.00, 90.00, 109.28 degrees
Last column: magnetic moment on the atom in μB.
Fractional positions:
Re: 0.500 0.000 0.500  -0.03
Os: 0.500 0.500 0.000  -0.16
Fe: 0.000 0.500 0.500  1.85
Os: 0.000 0.000 0.000  -0.16

Output
**Crystal system**: orthorhombic
**Density of states at the Fermi level**: 4.25 states/eV per cell
**Calculated formation energy**: 0.13 eV/atom
**Polymorph energy (0 for the lowest one)**: 37 meV/atom
**Final energy**: -42.8 eV per cell

***

VASP calculation (GGA-PBE) on FeReOs after structural relaxation.

Cell lengths 4.973, 4.973, 7.251 Å; angles 90.00, 90.00, 115.43 degrees
Last column: magnetic moment on the atom in μB.
Fractional positions:
Os: 0.130 0.870 0.912  0.02
Os: 0.870 0.130 0.088  0.02
Fe: 0.880 0.120 0.422  1.15
Os: 0.630 0.370 0.588  0.02
Re: 0.373 0.127 0.250  -0.12
Fe: 0.380 0.620 0.078  1.15
Os: 0.370 0.630 0.412  0.02
Re: 0.873 0.627 0.250  -0.12
Re: 0.127 0.373 0.750  -0.12
Re: 0.627 0.873 0.750  -0.12
Fe: 0.120 0.880 0.578  1.15
Fe: 0.620 0.380 0.922  1.15

Output
**Crystal system**: orthorhombic
**Density of states at the Fermi level**: 10.96 states/eV per cell
**Calculated formation energy**: 0.13 eV/atom
**Polymorph energy (0 for the lowest one)**: 53 meV/atom
**Final energy**: -127.0 eV per cell

***

VASP calculation (GGA-PBE) on FeReOs3 after structural relaxation.

Cell lengths 4.690, 4.690, 4.690 Å; angles 90.00, 90.00, 90.00 degrees
Last column: magnetic moment on the atom in μB.
Fractional positions:
Os: 0.000 0.500 0.000  0.44
Os: 0.500 0.000 0.000  0.45
Re: 0.000 0.000 0.000  -0.09
Os: 0.000 0.000 0.500  0.39
Fe: 0.500 0.500 0.500  3.37

Output
**Crystal system**: cubic
**Density of states at the Fermi level**: 6.70 states/eV per cell
**Calculated formation energy**: 2.40 eV/atom
**Polymorph energy (0 for the lowest one)**: 450 meV/atom
**Final energy**: -42.6 eV per cell

***

VASP calculation (GGA-PBE) on FeReOs after structural relaxation.

Cell lengths 4.082, 4.082, 4.082 Å; angles 60.00, 60.00, 60.00 degrees
Last column: magnetic moment on the atom in μB.
Fractional positions:
Os: 0.500 0.500 0.500  -0.03
Re: 0.750 0.750 0.750  0.11
Fe: 0.000 0.000 0.000  -0.57

Output
**Crystal system**: cubic
**Density of states at the Fermi level**: 3.68 states/eV per cell
**Calculated formation energy**: 0.62 eV/atom
**Polymorph energy (0 for the lowest one)**: 546 meV/atom
**Final energy**: -30.3 eV per cell

***

VASP calculation (GGA-PBE) on FeReOs2 after structural relaxation.

Cell lengths 4.641, 4.641, 4.641 Å; angles 131.40, 131.40, 71.18 degrees
Last column: magnetic moment on the atom in μB.
Fractional positions:
Os: 0.000 0.000 0.000  -0.11
Os: 0.500 0.500 0.000  -0.11
Re: 0.250 0.750 0.500  -0.03
Fe: 0.750 0.250 0.500  1.44

Output
**Crystal system**: tetragonal
**Density of states at the Fermi level**: 4.06 states/eV per cell
**Calculated formation energy**: 0.10 eV/atom
**Polymorph energy (0 for the lowest one)**: 0 meV/atom
**Final energy**: -43.0 eV per cell

***

VASP calculation (GGA-PBE) on FeReOs2 after structural relaxation.

Cell lengths 2.713, 2.713, 7.488 Å; angles 90.00, 90.00, 90.00 degrees
Last column: magnetic moment on the atom in μB.
Fractional positions:
Re: 0.500 0.500 0.250  0.04
Os: 0.000 0.000 0.988  -0.05
Os: 0.000 0.000 0.512  -0.05
Fe: 0.500 0.500 0.750  1.66

Output
**Crystal system**: tetragonal
**Density of states at the Fermi level**: 4.59 states/eV per cell
**Calculated formation energy**: 0.13 eV/atom
**Polymorph energy (0 for the lowest one)**: 35 meV/atom
**Final energy**: -42.8 eV per cell

***

VASP calculation (GGA-PBE) on FeRe2Os after structural relaxation.

Cell lengths 2.669, 2.669, 8.892 Å; angles 90.00, 90.00, 114.42 degrees
Last column: magnetic moment on the atom in μB.
Fractional positions:
Os: 0.500 0.500 0.750  -0.08
Re: 0.000 0.000 0.007  0.07
Fe: 0.500 0.500 0.250  2.54
Re: 0.000 0.000 0.493  0.07

Output
**Crystal system**: orthorhombic
**Density of states at the Fermi level**: 4.82 states/eV per cell
**Calculated formation energy**: 0.37 eV/atom
**Polymorph energy (0 for the lowest one)**: 355 meV/atom
**Final energy**: -43.1 eV per cell

***

VASP calculation (GGA-PBE) on FeRe2Os after structural relaxation.

Cell lengths 4.692, 4.692, 4.661 Å; angles 80.51, 80.51, 33.88 degrees
Last column: magnetic moment on the atom in μB.
Fractional positions:
Os: 0.750 0.750 0.750  -0.08
Fe: 0.250 0.250 0.250  1.87
Re: 0.498 0.498 0.499  -0.03
Re: 0.002 0.002 0.001  -0.03

Output
**Crystal system**: monoclinic
**Density of states at the Fermi level**: 4.01 states/eV per cell
**Calculated formation energy**: 0.12 eV/atom
**Polymorph energy (0 for the lowest one)**: 101 meV/atom
**Final energy**: -44.1 eV per cell

***

VASP calculation (GGA-PBE) on FeRe2Os after structural relaxation.

Cell lengths 3.773, 3.773, 9.137 Å; angles 78.08, 78.08, 90.00 degrees
Last column: magnetic moment on the atom in μB.
Fractional positions:
Re: 0.875 0.840 0.750  -0.05
Re: 0.375 0.410 0.750  -0.06
Fe: 0.250 0.750 0.500  1.95
Fe: 0.500 0.500 0.000  1.95
Os: 0.750 0.250 0.500  0.06
Re: 0.590 0.125 0.250  -0.06
Os: 0.000 0.000 0.000  0.06
Re: 0.160 0.625 0.250  -0.05

Output
**Crystal system**: tetragonal
**Density of states at the Fermi level**: 9.50 states/eV per cell
**Calculated formation energy**: 0.81 eV/atom
**Polymorph energy (0 for the lowest one)**: 792 meV/atom
**Final energy**: -82.7 eV per cell

***

VASP calculation (GGA-PBE) on FeReOs2 after structural relaxation.

Cell lengths 2.830, 4.501, 4.457 Å; angles 90.00, 90.00, 90.00 degrees
Last column: magnetic moment on the atom in μB.
Fractional positions:
Re: 0.500 0.000 0.500  0.01
Os: 0.000 0.000 0.000  0.01
Os: 0.500 0.500 0.000  0.12
Fe: 0.000 0.500 0.500  2.36

Output
**Crystal system**: orthorhombic
**Density of states at the Fermi level**: 4.31 states/eV per cell
**Calculated formation energy**: 0.43 eV/atom
**Polymorph energy (0 for the lowest one)**: 332 meV/atom
**Final energy**: -41.7 eV per cell

***

VASP calculation (GGA-PBE) on FeRe2Os after structural relaxation.

Cell lengths 4.321, 4.321, 4.321 Å; angles 60.00, 60.00, 60.00 degrees
Last column: magnetic moment on the atom in μB.
Fractional positions:
Fe: 0.000 0.000 0.000  2.28
Re: 0.750 0.750 0.750  0.07
Re: 0.250 0.250 0.250  0.07
Os: 0.500 0.500 0.500  -0.07

Output
**Crystal system**: cubic
**Density of states at the Fermi level**: 5.88 states/eV per cell
**Calculated formation energy**: 0.37 eV/atom
**Polymorph energy (0 for the lowest one)**: 353 meV/atom
**Final energy**: -43.1 eV per cell

***

VASP calculation (GGA-PBE) on FeRe2Os after structural relaxation.

Cell lengths 8.906, 8.906, 8.906 Å; angles 17.53, 17.53, 17.53 degrees
Last column: magnetic moment on the atom in μB.
Fractional positions:
Fe: 0.250 0.250 0.250  1.38
Re: 0.504 0.504 0.504  -0.12
Os: 0.750 0.750 0.750  -0.10
Re: 0.996 0.996 0.996  -0.12

Output
**Crystal system**: trigonal
**Density of states at the Fermi level**: 2.82 states/eV per cell
**Calculated formation energy**: 0.12 eV/atom
**Polymorph energy (0 for the lowest one)**: 102 meV/atom
**Final energy**: -44.1 eV per cell